# meta-GGA SCAN LiCaTe2, single point on PBEsol structure
# Mass density (g cm⁻³): 4.77
# Uncorrected formation energy (eV/atom): -1.07
# Total magnetization (μB/cell): 0.0
# Calculated volume (Å³/f.u.): 105.1
data_LiCaTe2
_space_group_name_H-M_alt 'C m m m'
_space_group_IT_number 65
_space_group_name_Hall '-C 2 2'
_cell_length_a 6.779
_cell_length_b 7.832
_cell_length_c 3.959
_cell_angle_alpha 90.00
_cell_angle_beta 90.00
_cell_angle_gamma 90.00
loop_
_atom_site_label
_atom_site_fract_x
_atom_site_fract_y
_atom_site_fract_z
Li1 0.000 0.000 0.000
Ca1 0.000 0.500 0.000
Te1 0.250 0.250 0.500